(1)
## NaV2Bi (GGA-PBE)

Data for NaV2Bi after structural relaxation.

Cell: 7.7373 7.7373 5.5502 Å, 90.00 90.00 90.00°
With the nearest neighbours (Å) after each atom.
Space group I-42d (No. 122)
Symmetry-distinct sites (fractional):
Na  0.0000  0.0000  0.0000 [4 per cell]  2 Bi 2.78, 4 V 2.92
V  0.2324  0.2500  0.6250 [8 per cell]  2 Bi 2.73, 2 V 2.79, 2 Na 2.92
Bi  0.0000  0.0000  0.5000 [4 per cell]  4 V 2.73, 2 Na 2.78

* total DFT energy (no corrections): -4.761 eV per atom
* ρ: 6.67 g/cm3



(2)
## NaVZnBi2 (GGA-PBE)

Data for NaVZnBi2 after structural relaxation.

Cell: 5.2701 5.2701 5.0856 Å, 90.00 90.00 90.00°
With the nearest neighbours (Å) after each atom.
Space group P4/mmm (No. 123)
Symmetry-distinct sites (fractional):
Na  0.0000  0.0000  0.0000 [1 per cell]  8 Bi 3.66, 4 Zn 3.73
V  0.5000  0.5000  0.5000 [1 per cell]  2 Zn 2.54, 4 Bi 2.64
Zn  0.5000  0.5000  0.0000 [1 per cell]  2 V 2.54
Bi  0.0000  0.5000  0.5000 [2 per cell]  2 V 2.64

* total DFT energy (no corrections): -3.711 eV per atom
* ρ: 6.55 g/cm3



(3)
## NaBiW2 (GGA-PBE)

Data for NaBiW2 after structural relaxation.

Cell: 8.3193 8.3193 5.2139 Å, 90.00 90.00 90.00°
With the nearest neighbours (Å) after each atom.
Space group I-42d (No. 122)
Symmetry-distinct sites (fractional):
Na  0.0000  0.0000  0.0000 [4 per cell]  2 Bi 2.61
Bi  0.0000  0.0000  0.5000 [4 per cell]  2 Na 2.61, 4 W 2.78
W  0.2079  0.2500  0.6250 [8 per cell]  2 W 2.70, 2 Bi 2.78

* total DFT energy (no corrections): -6.098 eV per atom
* ρ: 11.04 g/cm3



(4)
## Na3BiW (GGA-PBE)

Data for Na3BiW after structural relaxation.

Cell: 5.9167 5.9167 5.9167 Å, 90.00 90.00 90.00°
With the nearest neighbours (Å) after each atom.
Space group Pm-3m (No. 221)
Symmetry-distinct sites (fractional):
Na  0.0000  0.0000  0.5000 [3 per cell]  2 Bi 2.96
Bi  0.0000  0.0000  0.0000 [1 per cell]  6 Na 2.96
W  0.5000  0.5000  0.5000 [1 per cell]  12 Na 4.18

* energy relative to the lowest polymorph listed for this composition: 0.00 eV per formula unit
* ρ: 3.70 g/cm3



(5)
## NaYBi (GGA-PBE)

Data for NaYBi after structural relaxation.

Cell: 5.2468 5.2468 7.6234 Å, 90.00 90.00 90.00°
With the nearest neighbours (Å) after each atom.
Space group P4/nmm (No. 129, origin choice 2)
Symmetry-distinct sites (fractional):
Na  0.2500  0.7500  0.0000 [2 per cell]  4 Bi 3.32, 4 Na 3.71
Y  0.2500  0.7500  0.5000 [2 per cell]  4 Bi 3.17
Bi  0.2500  0.2500  0.2666 [2 per cell]  4 Y 3.17, 4 Na 3.32

* total DFT energy (no corrections): -4.304 eV per atom
* ρ: 5.08 g/cm3



(6)
## Na3YBi (GGA-PBE)

Data for Na3YBi after structural relaxation.

Cell: 6.0376 6.0376 6.0376 Å, 90.00 90.00 90.00°
With the nearest neighbours (Å) after each atom.
Space group Pm-3m (No. 221)
Symmetry-distinct sites (fractional):
Na  0.0000  0.0000  0.5000 [3 per cell]  2 Y 3.02
Y  0.0000  0.0000  0.0000 [1 per cell]  6 Na 3.02
Bi  0.5000  0.5000  0.5000 [1 per cell]  12 Na 4.27

* energy relative to the lowest polymorph listed for this composition: 3.01 eV per formula unit
* ρ: 2.77 g/cm3



(7)
## Na2YBi (GGA-PBE)

Data for Na2YBi after structural relaxation.

Cell: 4.4974 4.4974 25.5392 Å, 90.00 90.00 90.00°
With the nearest neighbours (Å) after each atom.
Space group I-42d (No. 122)
Symmetry-distinct sites (fractional):
Na  0.2367  0.2500  0.1250 [8 per cell]  4 Na 3.10-3.27
Y  0.0000  0.0000  0.5000 [4 per cell]  4 Bi 3.18
Bi  0.0000  0.0000  0.0000 [4 per cell]  4 Y 3.18, 4 Na 3.55

* total DFT energy (no corrections): -3.450 eV per atom
* ρ: 4.42 g/cm3



(8)
## Na2YBi2 (GGA-PBE)

Data for Na2YBi2 after structural relaxation.

Cell: 9.0879 9.0879 3.6138 Å, 90.00 90.00 90.00°
With the nearest neighbours (Å) after each atom.
Space group P4/mbm (No. 127)
Symmetry-distinct sites (fractional):
Na  0.1196  0.3804  0.0000 [4 per cell]  1 Na 3.07, 6 Bi 3.14-3.32
Y  0.0000  0.0000  0.5000 [2 per cell]  4 Bi 3.33, 2 Y 3.61
Bi  0.1808  0.6808  0.5000 [4 per cell]  6 Na 3.14-3.32, 2 Y 3.33

* energy relative to the lowest polymorph listed for this composition: 0.00 eV per formula unit
* ρ: 6.15 g/cm3



Look up the ρ of the first one.
6.67 g/cm3



Number 8 is which compound?
Na2YBi2



Which of these has the highest ρ?
NaBiW2